Cr3Br5F | PBE+U | relaxed

Values from the calculation:
Calculated volume ... 662 Å³ per cell
Total energy ... -4.741 eV per atom

Cell: 8.5916 12.7802 7.7068 Å, 55.74 81.04 71.15°
With the nearest neighbours (Å) after each atom.
Sites, in units of the cell vectors:
Cr 0.3824 0.3874 0.1897  4 Br 2.54-2.58
Cr 0.2909 0.0988 0.5921  4 Br 2.55-2.62, 1 F 2.63
Cr 0.0000 0.0000 0.0000  2 F 2.03
Cr 0.0000 0.0000 0.5000  2 F 2.01
Cr 0.6176 0.6126 0.8103  4 Br 2.54-2.58
Cr 0.7091 0.9012 0.4079  4 Br 2.55-2.62, 1 F 2.63
Br 0.6879 0.1070 0.4173  2 Cr 2.58-2.62
Br 0.4619 0.4740 0.8102  2 Cr 2.54
Br 0.3075 0.9632 0.9928  2 Cr 2.53-2.55
Br 0.7107 0.6925 0.4361  2 Cr 2.55
Br 0.2893 0.3075 0.5639  2 Cr 2.55
Br 0.6925 0.0368 0.0072  2 Cr 2.53-2.55
Br 0.7764 0.7541 0.8060  2 Cr 2.58
Br 0.5381 0.5260 0.1898  2 Cr 2.54
Br 0.3121 0.8930 0.5827  2 Cr 2.58-2.62
Br 0.2236 0.2459 0.1940  2 Cr 2.58
F 0.9996 0.9434 0.3039  2 Cr 2.01-2.03
F 0.0004 0.0566 0.6961  2 Cr 2.01-2.03